Record 1
First-principles (SCAN) data for NaHRh2 at its PBEsol-relaxed geometry, as listed in Alexandria via LeMat-Bulk.

a b c (Å): 4.107 4.107 4.107
angles (deg): 60.00 60.00 60.00
Site moments in Bohr magnetons follow the coordinates.
Atoms (fractional coordinates):
H  0.000  0.000  0.000  0.01
Na  0.500  0.500  0.500  -0.01
Rh  0.750  0.750  0.750  0.60
Rh  0.250  0.250  0.250  0.60

Properties
space-group type	No. 225
electronic total energy	-17.722	eV/atom
D(E_F)	3.78	states/eV/cell
magnetic moment	1.2	μB/cell

=====

Record 2
First-principles (SCAN) data for NaH3Rh at its PBEsol-relaxed geometry, as listed in Alexandria via LeMat-Bulk.

a b c (Å): 3.485 3.485 3.485
angles (deg): 90.00 90.00 90.00
Site moments in Bohr magnetons follow the coordinates.
Atoms (fractional coordinates):
H  0.000  0.500  0.000  0.00
H  0.500  0.000  0.000  0.00
H  0.000  0.000  0.500  0.00
Na  0.500  0.500  0.500  0.00
Rh  0.000  0.000  0.000  0.18

Properties
space-group type	No. 221
electronic total energy	-10.018	eV/atom
D(E_F)	1.09	states/eV/cell
magnetic moment	0.2	μB/cell

=====

Record 3
First-principles (SCAN) data for NaSbH2Rh at its PBEsol-relaxed geometry, as listed in Alexandria via LeMat-Bulk.

a b c (Å): 3.744 3.744 5.157
angles (deg): 90.00 90.00 90.00
Atoms (fractional coordinates):
Sb  0.500  0.500  0.500
Rh  0.000  0.000  0.000
H  0.500  0.000  0.000
H  0.000  0.500  0.000
Na  0.000  0.000  0.500

Properties
space-group type	No. 123
electronic total energy	-15.763	eV/atom
D(E_F)	2.09	states/eV/cell
magnetic moment	0.0	μB/cell

=====

Record 4
First-principles (SCAN) data for Na4H6Ru at its PBEsol-relaxed geometry, as listed in Alexandria via LeMat-Bulk.

a b c (Å): 6.363 6.363 6.363
angles (deg): 89.13 89.13 89.13
Site moments in Bohr magnetons follow the coordinates.
Atoms (fractional coordinates):
H  0.740  0.941  0.055  0.00
H  0.945  0.260  0.059  0.00
H  0.941  0.055  0.740  0.00
H  0.441  0.240  0.555  0.00
H  0.240  0.555  0.441  0.00
H  0.055  0.740  0.941  0.00
H  0.059  0.945  0.260  0.00
H  0.555  0.441  0.240  0.00
H  0.559  0.760  0.445  0.00
H  0.445  0.559  0.760  0.00
H  0.760  0.445  0.559  0.00
H  0.260  0.059  0.945  0.00
Na  0.375  0.750  0.125  0.00
Na  0.250  0.875  0.625  0.00
Na  0.125  0.375  0.750  0.00
Na  0.625  0.250  0.875  0.00
Na  0.250  0.250  0.250  0.00
Na  0.750  0.125  0.375  0.00
Na  0.750  0.750  0.750  0.00
Na  0.875  0.625  0.250  0.00
Ru  0.000  0.000  0.000  -0.12
Ru  0.500  0.500  0.500  -0.12

Properties
space-group type	No. 167
electronic total energy	-6.945	eV/atom
D(E_F)	0.00	states/eV/cell
magnetic moment	0.2	μB/cell

=====

Record 5
First-principles (SCAN) data for NaH3Ru at its PBEsol-relaxed geometry, as listed in Alexandria via LeMat-Bulk.

a b c (Å): 3.471 3.471 3.471
angles (deg): 90.00 90.00 90.00
Atoms (fractional coordinates):
Ru  0.000  0.000  0.000
H  0.500  0.000  0.000
H  0.000  0.500  0.000
H  0.000  0.000  0.500
Na  0.500  0.500  0.500

Properties
space-group type	No. 221
electronic total energy	-10.035	eV/atom
magnetic moment	0.0	μB/cell

=====

Record 6
First-principles (SCAN) data for NaSbH2 at its PBEsol-relaxed geometry, as listed in Alexandria via LeMat-Bulk.

a b c (Å): 4.235 4.235 4.235
angles (deg): 60.00 60.00 60.00
Atoms (fractional coordinates):
H  0.750  0.750  0.750
H  0.250  0.250  0.250
Na  0.000  0.000  0.000
Sb  0.500  0.500  0.500

Properties
space-group type	No. 225
electronic total energy	-11.582	eV/atom
D(E_F)	1.46	states/eV/cell
magnetic moment	0.0	μB/cell

=====

Record 7
First-principles (SCAN) data for NaScH2 at its PBEsol-relaxed geometry, as listed in Alexandria via LeMat-Bulk.

a b c (Å): 3.986 3.986 3.986
angles (deg): 60.00 60.00 60.00
Site moments in Bohr magnetons follow the coordinates.
Atoms (fractional coordinates):
Sc  0.500  0.500  0.500  0.29
Na  0.000  0.000  0.000  0.01
H  0.250  0.250  0.250  -0.01
H  0.750  0.750  0.750  -0.01

Properties
space-group type	No. 225
electronic total energy	-6.149	eV/atom
D(E_F)	2.20	states/eV/cell
magnetic moment	0.4	μB/cell

=====

Record 8
First-principles (SCAN) data for NaSc2H at its PBEsol-relaxed geometry, as listed in Alexandria via LeMat-Bulk.

a b c (Å): 4.817 4.817 4.817
angles (deg): 60.00 60.00 60.00
Site moments in Bohr magnetons follow the coordinates.
Atoms (fractional coordinates):
Na  0.500  0.500  0.500  0.03
Sc  0.250  0.250  0.250  0.82
Sc  0.750  0.750  0.750  0.82
H  0.000  0.000  0.000  -0.03

Properties
space-group type	No. 225
electronic total energy	-8.206	eV/atom
D(E_F)	3.06	states/eV/cell
magnetic moment	2.7	μB/cell
E above lowest polymorph	550	meV/atom

=====

Record 9
First-principles (SCAN) data for NaSc2H at its PBEsol-relaxed geometry, as listed in Alexandria via LeMat-Bulk.

a b c (Å): 3.262 3.262 9.735
angles (deg): 80.36 80.36 60.00
Atoms (fractional coordinates):
H  0.000  0.000  0.000
Sc  0.937  0.937  0.188
Sc  0.063  0.063  0.812
Na  0.500  0.500  0.500

Properties
space-group type	No. 166
electronic total energy	-8.757	eV/atom
D(E_F)	2.71	states/eV/cell
magnetic moment	0.0	μB/cell
E above lowest polymorph	0	meV/atom

=====

Record 10
First-principles (SCAN) data for NaTc2H at its PBEsol-relaxed geometry, as listed in Alexandria via LeMat-Bulk.

a b c (Å): 4.139 4.139 4.139
angles (deg): 60.00 60.00 60.00
Site moments in Bohr magnetons follow the coordinates.
Atoms (fractional coordinates):
Na  0.500  0.500  0.500  0.01
H  0.000  0.000  0.000  -0.02
Tc  0.750  0.750  0.750  1.93
Tc  0.250  0.250  0.250  1.93

Properties
space-group type	No. 225
electronic total energy	-17.602	eV/atom
D(E_F)	3.56	states/eV/cell
magnetic moment	4.1	μB/cell

=====

Record 11
First-principles (SCAN) data for NaTiTcH2 at its PBEsol-relaxed geometry, as listed in Alexandria via LeMat-Bulk.

a b c (Å): 3.607 3.607 4.872
angles (deg): 90.00 90.00 90.00
Site moments in Bohr magnetons follow the coordinates.
Atoms (fractional coordinates):
Na  0.000  0.000  0.500  0.08
Ti  0.500  0.500  0.500  1.99
H  0.000  0.500  0.000  0.00
H  0.500  0.000  0.000  0.00
Tc  0.000  0.000  0.000  -1.09

Properties
space-group type	No. 123
electronic total energy	-11.307	eV/atom
D(E_F)	2.59	states/eV/cell
magnetic moment	1.6	μB/cell

=====

Record 12
First-principles (SCAN) data for NaTeH2 at its PBEsol-relaxed geometry, as listed in Alexandria via LeMat-Bulk.

a b c (Å): 4.343 4.343 7.982
angles (deg): 105.79 105.79 90.00
Atoms (fractional coordinates):
H  0.125  0.875  0.250
H  0.625  0.875  0.750
H  0.125  0.875  0.750
H  0.125  0.375  0.250
Na  0.750  0.250  0.500
Na  0.500  0.500  0.000
Te  0.000  0.000  0.000
Te  0.250  0.750  0.500

Properties
space-group type	No. 141
electronic total energy	-11.916	eV/atom
D(E_F)	1.33	states/eV/cell
magnetic moment	0.0	μB/cell
E above lowest polymorph	0	meV/atom

=====

- Among the records above, which one has the highest electronic total energy?
  NaScH2

=====

- Which value of electronic total energy does entry 3 give?
  -15.763 eV/atom

=====

What did the eleventh record say?
First-principles (SCAN) data for NaTiTcH2 at its PBEsol-relaxed geometry, as listed in Alexandria via LeMat-Bulk.

a b c (Å): 3.607 3.607 4.872
angles (deg): 90.00 90.00 90.00
Site moments in Bohr magnetons follow the coordinates.
Atoms (fractional coordinates):
Na  0.000  0.000  0.500  0.08
Ti  0.500  0.500  0.500  1.99
H  0.000  0.500  0.000  0.00
H  0.500  0.000  0.000  0.00
Tc  0.000  0.000  0.000  -1.09

Properties
space-group type	No. 123
electronic total energy	-11.307	eV/atom
D(E_F)	2.59	states/eV/cell
magnetic moment	1.6	μB/cell

=====

- Which value of magnetic moment does entry 4 give?
  0.2 μB/cell